# NaPuGe2O8 PBE relaxed
# **Density of states at the Fermi level**: 0.538 states/eV per atom
# **ρ**: 5.71 g cm⁻³
# **Magnetization**: 1.00 μB/f.u.
# **Uncorrected formation energy**: -1.608 eV/atom
# **Raw total energy**: -6.99 eV per atom
data_NaPuGe2O8
_chemical_formula_sum 'Na1 Pu1 Ge2 O8'
_space_group_name_H-M_alt 'P 1'
_space_group_IT_number 1
_cell_length_a 5.9008
_cell_length_b 5.9008
_cell_length_c 5.9008
_cell_angle_alpha 106.98
_cell_angle_beta 106.98
_cell_angle_gamma 114.59
loop_
_space_group_symop_operation_xyz
'x,y,z'
loop_
_atom_site_label
_atom_site_type_symbol
_atom_site_fract_x
_atom_site_fract_y
_atom_site_fract_z
Na1 Na 0.0000 0.0000 0.0000
Pu1 Pu 0.7500 0.2500 0.5000
Ge1 Ge 0.2500 0.7500 0.5000
Ge2 Ge 0.5000 0.5000 0.0000
O1 O 0.0534 0.3750 0.3217
O2 O 0.0534 0.7317 0.6783
O3 O 0.1300 0.3314 0.7985
O4 O 0.2683 0.9466 0.3217
O5 O 0.5329 0.3314 0.2015
O6 O 0.6250 0.9466 0.6783
O7 O 0.6686 0.4671 0.7985
O8 O 0.6686 0.8700 0.2015